[1]
DFT (PBE) results for Tb2TmAl3AgPd2 after structural relaxation. Values from VASP.

```
&SYSTEM
  ibrav = 0, nat = 9, ntyp = 5
/
ATOMIC_SPECIES
Tb 158.93 Tb.upf
Tm 168.93 Tm.upf
Al 26.98 Al.upf
Ag 107.87 Ag.upf
Pd 106.42 Pd.upf
CELL_PARAMETERS angstrom
3.8843 0.0000 0.0000
0.0000 6.3723 3.6929
0.0000 -6.3723 3.6929
ATOMIC_POSITIONS crystal
Tb 0.0000 0.2079 0.7921
Tb 0.0000 0.7921 0.2079
Tm 0.0000 0.6239 0.6239
Al 0.5000 0.2104 0.4631
Al 0.5000 0.4631 0.2104
Al 0.5000 0.9533 0.9533
Ag 0.0000 0.2107 0.2107
Pd 0.5000 0.5434 0.8716
Pd 0.5000 0.8716 0.5434
```

## Properties
total energy: -44.488 eV for the cell shown
total magnetization: 0.01 μB per formula unit
volume: 20.313 Å³/atom
SG: Amm2

---

[2]
DFT (PBE) results for Pr2HoN3 after structural relaxation. Values from VASP.

```
&SYSTEM
  ibrav = 0, nat = 6, ntyp = 3
/
ATOMIC_SPECIES
Pr 140.91 Pr.upf
Ho 164.93 Ho.upf
N 14.01 N.upf
CELL_PARAMETERS angstrom
3.5921 0.0000 0.0000
-1.7960 3.1108 0.0000
0.0000 0.0000 8.8153
ATOMIC_POSITIONS crystal
Pr 0.3333 0.6667 0.3273
Pr 0.6667 0.3333 0.6727
Ho 0.0000 0.0000 0.0000
N 0.0000 0.0000 0.5000
N 0.3333 0.6667 0.8462
N 0.6667 0.3333 0.1538
```

## Properties
total energy: -47.556 eV for the cell shown
total magnetization: 0.00 μB per formula unit
volume: 16.417 Å³/atom
SG: P-3m1

---

[3]
DFT (PBE) results for PmY2Ni9 after structural relaxation. Values from VASP.

```
&SYSTEM
  ibrav = 0, nat = 12, ntyp = 3
/
ATOMIC_SPECIES
Pm 145.00 Pm.upf
Y 88.91 Y.upf
Ni 58.69 Ni.upf
CELL_PARAMETERS angstrom
2.4915 1.4385 8.1074
-2.4915 1.4385 8.1074
0.0000 -2.8769 8.1074
ATOMIC_POSITIONS crystal
Pm 0.0000 0.0000 0.0000
Y 0.1394 0.1394 0.1394
Y 0.8606 0.8606 0.8606
Ni 0.0818 0.5827 0.5827
Ni 0.3329 0.3329 0.3329
Ni 0.4173 0.4173 0.9182
Ni 0.4173 0.9182 0.4173
Ni 0.5000 0.5000 0.5000
Ni 0.5827 0.0818 0.5827
Ni 0.5827 0.5827 0.0818
Ni 0.6671 0.6671 0.6671
Ni 0.9182 0.4173 0.4173
```

## Properties
total energy: -72.400 eV for the cell shown
total magnetization: 0.59 μB per formula unit
volume: 14.528 Å³/atom
energy of formation from the pure elements: -0.385 eV per atom
SG: R-3m

---

[4]
DFT (PBE) results for Tb3Ho2Er after structural relaxation. Values from VASP.

```
&SYSTEM
  ibrav = 0, nat = 12, ntyp = 3
/
ATOMIC_SPECIES
Tb 158.93 Tb.upf
Ho 164.93 Ho.upf
Er 167.26 Er.upf
CELL_PARAMETERS angstrom
5.3125 -3.0673 0.0000
5.3125 3.0673 0.0000
0.0000 0.0000 11.4119
ATOMIC_POSITIONS crystal
Tb 0.0000 0.0000 0.0000
Tb 0.0000 0.0000 0.5000
Tb 0.3335 0.3335 0.0000
Tb 0.3335 0.3335 0.5000
Tb 0.6665 0.6665 0.0000
Tb 0.6665 0.6665 0.5000
Ho 0.9999 0.3335 0.2500
Ho 0.0001 0.6665 0.7500
Ho 0.3335 0.9999 0.7500
Ho 0.6665 0.0001 0.2500
Er 0.3332 0.6668 0.2500
Er 0.6668 0.3332 0.7500
```

## Properties
total energy: -55.206 eV for the cell shown
total magnetization: 0.02 μB per formula unit
volume: 30.992 Å³/atom
energy of formation from the pure elements: 0.000 eV per atom
SG: Cmcm

---

[5]
DFT (PBE) results for Rb2TlCdCl6 after structural relaxation. Values from VASP.

```
&SYSTEM
  ibrav = 0, nat = 10, ntyp = 4
/
ATOMIC_SPECIES
Rb 85.47 Rb.upf
Tl 204.38 Tl.upf
Cd 112.41 Cd.upf
Cl 35.45 Cl.upf
CELL_PARAMETERS angstrom
0.0000 5.3768 5.3768
5.3768 0.0000 5.3768
5.3768 5.3768 0.0000
ATOMIC_POSITIONS crystal
Rb 0.2500 0.2500 0.2500
Rb 0.7500 0.7500 0.7500
Tl 0.0000 0.0000 0.0000
Cd 0.5000 0.5000 0.5000
Cl 0.2569 0.2569 0.7431
Cl 0.2569 0.7431 0.2569
Cl 0.2569 0.7431 0.7431
Cl 0.7431 0.2569 0.2569
Cl 0.7431 0.2569 0.7431
Cl 0.7431 0.7431 0.2569
```

## Properties
total energy: -29.570 eV for the cell shown
volume: 31.089 Å³/atom
SG: Fm-3m

---

[6]
DFT (PBE) results for PuTh3P4 after structural relaxation. Values from VASP.

```
&SYSTEM
  ibrav = 0, nat = 8, ntyp = 3
/
ATOMIC_SPECIES
Pu 244.00 Pu.upf
Th 232.04 Th.upf
P 30.97 P.upf
CELL_PARAMETERS angstrom
4.0974 -5.8197 0.0000
4.0974 5.8197 0.0000
0.0000 0.0000 4.1150
ATOMIC_POSITIONS crystal
Pu 0.0000 0.0000 0.0000
Th 0.0000 0.5000 0.5000
Th 0.5000 0.0000 0.5000
Th 0.5000 0.5000 0.0000
P 0.2447 0.2447 0.5000
P 0.2479 0.7521 0.0000
P 0.7521 0.2479 0.0000
P 0.7553 0.7553 0.5000
```

## Properties
total energy: -69.962 eV for the cell shown
total magnetization: 5.49 μB per formula unit
volume: 24.531 Å³/atom
SG: Cmmm

---

[7]
DFT (PBE) results for Pr2Y2CI4Cl after structural relaxation. Values from VASP.

```
&SYSTEM
  ibrav = 0, nat = 10, ntyp = 5
/
ATOMIC_SPECIES
Pr 140.91 Pr.upf
Y 88.91 Y.upf
C 12.01 C.upf
I 126.90 I.upf
Cl 35.45 Cl.upf
CELL_PARAMETERS angstrom
9.7434 -2.0002 0.0000
9.7434 2.0002 0.0000
-1.7035 0.0000 8.2084
ATOMIC_POSITIONS crystal
Pr 0.0014 0.0014 0.2882
Pr 0.9986 0.9986 0.7118
Y 0.3729 0.3729 0.4360
Y 0.6271 0.6271 0.5640
C 0.5000 0.5000 0.5000
I 0.1658 0.1658 0.8444
I 0.1716 0.1716 0.3240
I 0.8284 0.8284 0.6760
I 0.8342 0.8342 0.1556
Cl 0.5000 0.5000 0.0000
```

## Properties
total energy: -51.920 eV for the cell shown
total magnetization: 0.08 μB per formula unit
volume: 31.995 Å³/atom
SG: C2/m

---

[8]
DFT (PBE) results for ScZnNiPt after structural relaxation. Values from VASP.

```
&SYSTEM
  ibrav = 0, nat = 4, ntyp = 4
/
ATOMIC_SPECIES
Sc 44.96 Sc.upf
Zn 65.41 Zn.upf
Ni 58.69 Ni.upf
Pt 195.08 Pt.upf
CELL_PARAMETERS angstrom
0.0000 3.1150 3.1150
3.1150 0.0000 3.1150
3.1150 3.1150 0.0000
ATOMIC_POSITIONS crystal
Sc 0.0000 0.0000 0.0000
Zn 0.5000 0.5000 0.5000
Ni 0.7500 0.7500 0.7500
Pt 0.2500 0.2500 0.2500
```

## Properties
total energy: -22.012 eV for the cell shown
total magnetization: 0.00 μB per formula unit
volume: 15.113 Å³/atom
energy of formation from the pure elements: -0.699 eV per atom
SG: F-43m

---

[9]
DFT (PBE) results for ZnTe after structural relaxation. Values from VASP.

```
&SYSTEM
  ibrav = 0, nat = 12, ntyp = 2
/
ATOMIC_SPECIES
Zn 65.41 Zn.upf
Te 127.60 Te.upf
CELL_PARAMETERS angstrom
5.2645 0.0000 0.0000
0.0000 8.8473 0.0000
0.0000 0.0000 6.5225
ATOMIC_POSITIONS crystal
Zn 0.0000 0.1172 0.0000
Zn 0.0000 0.3663 0.2385
Zn 0.0000 0.6337 0.7385
Zn 0.0000 0.8828 0.5000
Zn 0.5000 0.3259 0.5108
Zn 0.5000 0.6741 0.0108
Te 0.0000 0.3268 0.6583
Te 0.0000 0.6732 0.1583
Te 0.5000 0.0122 0.5048
Te 0.5000 0.3648 0.0930
Te 0.5000 0.6352 0.5930
Te 0.5000 0.9878 0.0048
```

## Properties
total energy: -27.453 eV for the cell shown
volume: 25.316 Å³/atom
SG: Pmc2_1

---

[10]
DFT (PBE) results for HoAlInNi after structural relaxation. Values from VASP.

```
&SYSTEM
  ibrav = 0, nat = 8, ntyp = 4
/
ATOMIC_SPECIES
Ho 164.93 Ho.upf
Al 26.98 Al.upf
In 114.82 In.upf
Ni 58.69 Ni.upf
CELL_PARAMETERS angstrom
7.1206 0.0000 0.0000
0.0000 2.0968 5.1392
0.0000 -2.0968 5.1392
ATOMIC_POSITIONS crystal
Ho 0.0000 0.0000 0.0000
Ho 0.5000 0.1306 0.1306
Al 0.3083 0.4168 0.4168
Al 0.6917 0.4168 0.4168
In 0.2044 0.7116 0.7116
In 0.7956 0.7116 0.7116
Ni 0.0000 0.2998 0.2998
Ni 0.5000 0.8675 0.8675
```

## Properties
total energy: -37.465 eV for the cell shown
total magnetization: 0.00 μB per formula unit
volume: 19.183 Å³/atom
SG: Amm2

---

[11]
DFT (PBE) results for PmNbPd after structural relaxation. Values from VASP.

```
&SYSTEM
  ibrav = 0, nat = 3, ntyp = 3
/
ATOMIC_SPECIES
Pm 145.00 Pm.upf
Nb 92.91 Nb.upf
Pd 106.42 Pd.upf
CELL_PARAMETERS angstrom
0.0000 3.3271 3.3271
3.3271 0.0000 3.3271
3.3271 3.3271 0.0000
ATOMIC_POSITIONS crystal
Pm 0.0000 0.0000 0.0000
Nb 0.7500 0.7500 0.7500
Pd 0.2500 0.2500 0.2500
```

## Properties
total energy: -17.289 eV for the cell shown
total magnetization: 2.36 μB per formula unit
volume: 24.553 Å³/atom
energy of formation from the pure elements: 0.908 eV per atom
SG: F-43m

---

[12]
DFT (PBE) results for NaCoAg after structural relaxation. Values from VASP.

```
&SYSTEM
  ibrav = 0, nat = 3, ntyp = 3
/
ATOMIC_SPECIES
Na 22.99 Na.upf
Co 58.93 Co.upf
Ag 107.87 Ag.upf
CELL_PARAMETERS angstrom
0.0000 3.1194 3.1194
3.1194 0.0000 3.1194
3.1194 3.1194 0.0000
ATOMIC_POSITIONS crystal
Na 0.0000 0.0000 0.0000
Co 0.2500 0.2500 0.2500
Ag 0.7500 0.7500 0.7500
```

## Properties
total energy: -7.698 eV for the cell shown
total magnetization: 1.75 μB per formula unit
volume: 20.236 Å³/atom
SG: F-43m